[1]
This record from Alexandria via LeMat-Bulk describes a relaxed SrLi2NbC crystal. The functional is GGA-PBE.

a b c (Å): 4.3258 4.3258 5.1353
angles (deg): 90.00 90.00 90.00
Space group P4/mmm (No. 123)
Unique sites:
Sr1 0.0000 0.0000 0.0000 x1
Li1 0.0000 0.5000 0.0000 x2
Nb1 0.0000 0.0000 0.5000 x1
C1 0.5000 0.5000 0.5000 x1

formation energy from the elements	2.71	eV/atom

[2]
This record from Alexandria via LeMat-Bulk describes a relaxed LiNb2TeC crystal. The functional is GGA-PBE.

a b c (Å): 4.5423 4.5423 4.0788
angles (deg): 90.00 90.00 90.00
Space group P4/mmm (No. 123)
Unique sites:
Li1 0.0000 0.0000 0.0000 x1
Nb1 0.0000 0.5000 0.0000 x2
Te1 0.0000 0.0000 0.5000 x1
C1 0.5000 0.5000 0.5000 x1

ΔE_f (raw)	9.30	eV/f.u.